[1]
Material: CaTb2TmS4
Method: DFT, PBE
State: relaxed

Values from the calculation:
space-group type: No. 10
calculated total energy: -6.04 eV/atom
size of the total moment: 0.0 Bohr magnetons per cell
ΔE_f (raw): -2.01 eV/atom
theoretical density: 6.38 g cm⁻³

Lattice parameters (Å, degrees): 6.787 3.906 6.812 90.00 109.14 90.00
Atoms (fractional coordinates):
Ca (0.000, 0.000, 0.000)
Tb (0.000, 0.500, 0.500)
Tb (0.500, 0.000, 0.500)
Tm (0.500, 0.500, 0.000)
S (0.254, 0.500, 0.248)
S (0.255, 0.000, 0.756)
S (0.745, 0.000, 0.244)
S (0.746, 0.500, 0.752)


[2]
Material: La2TaBr
Method: DFT, PBE
State: relaxed

Values from the calculation:
space-group type: No. 38
excess energy over the best structure of this formula in the dataset: 101.9 meV per atom
calculated total energy: -6.02 eV/atom
size of the total moment: 0.0 Bohr magnetons per cell
ΔE_f (raw): -0.17 eV/atom
theoretical density: 8.19 g cm⁻³

Lattice parameters (Å, degrees): 5.352 3.410 11.962 90.00 90.00 90.00
Atoms (fractional coordinates):
La (0.000, 0.000, 0.000)
La (0.000, 0.500, 0.500)
La (0.500, 0.000, 0.256)
La (0.500, 0.500, 0.756)
Ta (0.000, 0.000, 0.754)
Ta (0.000, 0.500, 0.254)
Br (0.500, 0.000, 0.514)
Br (0.500, 0.500, 0.014)


[3]
Material: Pm2SmIr
Method: DFT, PBE
State: relaxed

Values from the calculation:
space-group type: No. 166
excess energy over the best structure of this formula in the dataset: 397.7 meV per atom
calculated total energy: -5.85 eV/atom
energy of formation: -0.32 eV per formula unit
size of the total moment: 2.0 Bohr magnetons per cell
theoretical density: 7.66 g cm⁻³

Lattice parameters (Å, degrees): 3.848 3.848 32.076 90.00 90.00 120.00
Atoms (fractional coordinates):
Pm (0.000, 0.000, 0.113)
Pm (0.000, 0.000, 0.887)
Pm (0.333, 0.667, 0.553)
Pm (0.333, 0.667, 0.780)
Pm (0.667, 0.333, 0.220)
Pm (0.667, 0.333, 0.447)
Sm (0.000, 0.000, 0.000)
Sm (0.333, 0.667, 0.667)
Sm (0.667, 0.333, 0.333)
Ir (0.000, 0.000, 0.500)
Ir (0.333, 0.667, 0.167)
Ir (0.667, 0.333, 0.833)


[4]
Material: Sc8C
Method: DFT, PBE
State: relaxed

Values from the calculation:
space-group type: No. 139
calculated total energy: -6.38 eV/atom
energy of formation: 2.48 eV per formula unit
size of the total moment: 0.0 Bohr magnetons per cell
theoretical density: 3.12 g cm⁻³

Lattice parameters (Å, degrees): 7.881 7.881 7.881 92.56 92.56 155.59
Atoms (fractional coordinates):
Sc (0.000, 0.337, 0.337)
Sc (0.000, 0.663, 0.663)
Sc (0.337, 0.000, 0.337)
Sc (0.370, 0.370, 0.739)
Sc (0.370, 0.630, 0.000)
Sc (0.630, 0.370, 0.000)
Sc (0.630, 0.630, 0.261)
Sc (0.663, 0.000, 0.663)
C (0.000, 0.000, 0.000)


[5]
Material: NpPd2Pt
Method: DFT, PBE
State: relaxed

Values from the calculation:
space-group type: No. 10
excess energy over the best structure of this formula in the dataset: 253.0 meV per atom
calculated total energy: -7.61 eV/atom
energy of formation: -1.06 eV per formula unit
size of the total moment: 3.8 Bohr magnetons per cell
theoretical density: 15.09 g cm⁻³

Lattice parameters (Å, degrees): 2.832 4.678 5.473 90.00 101.87 90.00
Atoms (fractional coordinates):
Np (0.000, 0.000, 0.000)
Pd (0.312, 0.500, 0.738)
Pd (0.688, 0.500, 0.262)
Pt (0.500, 0.000, 0.500)


[6]
Material: Cd5PdAu2
Method: DFT, PBE
State: relaxed

Values from the calculation:
space-group type: No. 194
excess energy over the best structure of this formula in the dataset: 0.0 meV per atom
calculated total energy: -2.22 eV/atom
energy of formation: -1.42 eV per formula unit
size of the total moment: 0.0 Bohr magnetons per cell
theoretical density: 10.15 g cm⁻³

Lattice parameters (Å, degrees): 4.635 4.635 18.682 90.00 90.00 120.00
Atoms (fractional coordinates):
Cd (0.000, 0.000, 0.164)
Cd (0.000, 0.000, 0.336)
Cd (0.000, 0.000, 0.664)
Cd (0.000, 0.000, 0.836)
Cd (0.333, 0.667, 0.049)
Cd (0.333, 0.667, 0.250)
Cd (0.333, 0.667, 0.451)
Cd (0.667, 0.333, 0.549)
Cd (0.667, 0.333, 0.750)
Cd (0.667, 0.333, 0.951)
Pd (0.333, 0.667, 0.750)
Pd (0.667, 0.333, 0.250)
Au (0.333, 0.667, 0.602)
Au (0.333, 0.667, 0.898)
Au (0.667, 0.333, 0.102)
Au (0.667, 0.333, 0.398)